LiZrZn2, optimized geometry, DFT GGA-PBEsol; density = 6.00 Mg/m³; V = 15.85 Å³ per atom; E above lowest polymorph = 0.0000 eV per atom; ΔH_f (0 K) = -0.19 eV per atom; calculated total energy = -15.00 eV/cell; magnetization = 0.00 μB per formula unit
1.0
2.9576 0.0000 0.0000
0.0000 3.1478 0.0000
0.0000 0.0000 6.8087
Li Zr Zn
1 1 2
Direct
0.0000 0.0000 0.0000 Li
0.0000 0.0000 0.5000 Zr
0.5000 0.5000 0.2198 Zn
0.5000 0.5000 0.7802 Zn

---

Li2ZrZn, optimized geometry, DFT GGA-PBEsol; density = 4.37 Mg/m³; V = 16.22 Å³ per atom; ΔH_f (0 K) = 0.25 eV per atom; calculated total energy = -13.61 eV/cell; magnetization = 0.00 μB per formula unit
1.0
4.5724 0.0000 0.0000
0.0000 4.5724 0.0000
0.0000 0.0000 3.1023
Li Zr Zn
2 1 1
Direct
0.0000 0.5000 0.0000 Li
0.5000 0.0000 0.0000 Li
0.0000 0.0000 0.5000 Zr
0.5000 0.5000 0.5000 Zn

---

LiZr2Zn, optimized geometry, DFT GGA-PBEsol; density = 5.79 Mg/m³; V = 18.25 Å³ per atom; ΔH_f (0 K) = 0.05 eV per atom; calculated total energy = -21.54 eV/cell; magnetization = 0.00 μB per formula unit
1.0
2.8739 0.0000 0.0000
0.0000 3.9957 0.0000
0.0000 0.0000 6.3584
Li Zr Zn
1 2 1
Direct
0.0000 0.0000 0.0000 Li
0.5000 0.5000 0.2607 Zr
0.5000 0.5000 0.7393 Zr
0.0000 0.0000 0.5000 Zn

---

Li2ZrZn, optimized geometry, DFT GGA-PBEsol; density = 4.16 Mg/m³; V = 17.02 Å³ per atom; ΔH_f (0 K) = 0.10 eV per atom; calculated total energy = -14.19 eV/cell; magnetization = 0.00 μB per formula unit
1.0
2.8204 0.0000 0.0000
0.0000 2.8204 0.0000
0.0000 0.0000 8.5602
Li Zr Zn
2 1 1
Direct
0.0000 0.0000 0.2119 Li
0.0000 0.0000 0.7881 Li
0.5000 0.5000 0.5000 Zr
0.5000 0.5000 0.0000 Zn

---

Li2ZrZn2, optimized geometry, DFT GGA-PBEsol; density = 5.12 Mg/m³; V = 15.29 Å³ per atom; ΔH_f (0 K) = -0.10 eV per atom; calculated total energy = -33.41 eV/cell; magnetization = 0.00 μB per formula unit
1.0
7.5480 0.0000 0.0000
0.0000 7.5480 0.0000
0.0000 0.0000 2.6841
Li Zr Zn
4 2 4
Direct
0.1163 0.3837 0.0000 Li
0.3837 0.8837 0.0000 Li
0.6163 0.1163 0.0000 Li
0.8837 0.6163 0.0000 Li
0.0000 0.0000 0.0000 Zr
0.5000 0.5000 0.0000 Zr
0.1831 0.6831 0.5000 Zn
0.3169 0.1831 0.5000 Zn
0.6831 0.8169 0.5000 Zn
0.8169 0.3169 0.5000 Zn

---

LiZrZn2, optimized geometry, DFT GGA-PBEsol; density = 5.94 Mg/m³; V = 16.00 Å³ per atom; E above lowest polymorph = 0.0065 eV per atom; ΔH_f (0 K) = -0.19 eV per atom; calculated total energy = -59.90 eV/cell; magnetization = 0.00 μB per formula unit
1.0
6.3499 0.0000 0.0000
0.0000 6.3499 0.0000
0.0000 0.0000 6.3499
Li Zr Zn
4 4 8
Direct
0.0000 0.0000 0.0000 Li
0.0000 0.5000 0.5000 Li
0.5000 0.0000 0.5000 Li
0.5000 0.5000 0.0000 Li
0.0000 0.0000 0.5000 Zr
0.0000 0.5000 0.0000 Zr
0.5000 0.0000 0.0000 Zr
0.5000 0.5000 0.5000 Zr
0.2500 0.2500 0.2500 Zn
0.2500 0.2500 0.7500 Zn
0.2500 0.7500 0.2500 Zn
0.2500 0.7500 0.7500 Zn
0.7500 0.2500 0.2500 Zn
0.7500 0.2500 0.7500 Zn
0.7500 0.7500 0.2500 Zn
0.7500 0.7500 0.7500 Zn